1.
# P6C7 | the Alexandria database | PBE | relaxed
# **ΔH_f (0 K)**: 1.168 eV/atom
data_P6C7
_cell_length_a 4.2730
_cell_length_b 4.2730
_cell_length_c 32.9506
_cell_angle_alpha 90.00
_cell_angle_beta 90.00
_cell_angle_gamma 120.00
_symmetry_space_group_name_H-M 'R -3 m'
_symmetry_Int_Tables_number 166
_symmetry_space_group_name_Hall '-R 3 2"'
loop_
_atom_site_label
_atom_site_type_symbol
_atom_site_fract_x
_atom_site_fract_y
_atom_site_fract_z
P1 P 0.0000 0.0000 0.0331
P2 P 0.0000 0.0000 0.2307
P3 P 0.0000 0.0000 0.3002
C1 C 0.0000 0.0000 0.5000
C2 C 0.0992 0.5496 0.1245



2.
# PC2 | the Alexandria database | PBE | relaxed
# **ΔE to the lowest computed polymorph**: 397.4 meV/atom
# **ΔH_f (0 K)**: 0.627 eV/atom
data_PC2
_cell_length_a 2.4279
_cell_length_b 3.2686
_cell_length_c 4.4858
_cell_angle_alpha 88.46
_cell_angle_beta 74.39
_cell_angle_gamma 88.26
_symmetry_space_group_name_H-M 'P -1'
_symmetry_Int_Tables_number 2
loop_
_symmetry_equiv_pos_as_xyz
'x,y,z'
'-x,-y,-z'
loop_
_atom_site_label
_atom_site_type_symbol
_atom_site_fract_x
_atom_site_fract_y
_atom_site_fract_z
P1 P 0.0000 0.0000 0.0000
C1 C 0.2113 0.0003 0.5774



3.
# PC2 | the Alexandria database | PBE | relaxed
# **ΔE to the lowest computed polymorph**: 342.9 meV/atom
# **ΔH_f (0 K)**: 0.573 eV/atom
data_PC2
_cell_length_a 2.7370
_cell_length_b 7.7031
_cell_length_c 7.5311
_cell_angle_alpha 90.00
_cell_angle_beta 90.00
_cell_angle_gamma 90.00
_symmetry_space_group_name_H-M 'I m m a'
_symmetry_Int_Tables_number 74
_symmetry_space_group_name_Hall '-I 2b 2'
loop_
_atom_site_label
_atom_site_type_symbol
_atom_site_fract_x
_atom_site_fract_y
_atom_site_fract_z
P1 P 0.0000 0.2500 0.1243
C1 C 0.0000 0.2500 0.5175
C2 C 0.0000 0.2500 0.7037



4.
# P2C3 | the Alexandria database | PBE | relaxed
# **ΔE to the lowest computed polymorph**: 187.7 meV/atom
# **ΔH_f (0 K)**: 0.640 eV/atom
data_P2C3
_cell_length_a 6.1374
_cell_length_b 3.6608
_cell_length_c 5.3773
_cell_angle_alpha 90.00
_cell_angle_beta 103.97
_cell_angle_gamma 90.00
_symmetry_space_group_name_H-M 'C 1 m 1'
_symmetry_Int_Tables_number 8
loop_
_symmetry_equiv_pos_as_xyz
'x,y,z'
'x,-y,z'
'x+1/2,y+1/2,z'
'x+1/2,-y+1/2,z'
loop_
_atom_site_label
_atom_site_type_symbol
_atom_site_fract_x
_atom_site_fract_y
_atom_site_fract_z
P1 P 0.0000 0.0000 0.0000
P2 P 0.2233 0.5000 0.2196
C1 C 0.3254 0.1876 0.4991
C2 C 0.3786 0.5000 0.6665



5.
# PC3 | the Alexandria database | PBE | relaxed
# **ΔE to the lowest computed polymorph**: 1385.8 meV/atom
# **ΔH_f (0 K)**: 2.029 eV/atom
data_PC3
_cell_length_a 3.8687
_cell_length_b 3.8687
_cell_length_c 3.8687
_cell_angle_alpha 90.00
_cell_angle_beta 90.00
_cell_angle_gamma 90.00
_symmetry_space_group_name_H-M 'I m -3 m'
_symmetry_Int_Tables_number 229
_symmetry_space_group_name_Hall '-I 4 2 3'
loop_
_atom_site_label
_atom_site_type_symbol
_atom_site_fract_x
_atom_site_fract_y
_atom_site_fract_z
P1 P 0.0000 0.0000 0.0000
C1 C 0.0000 0.0000 0.5000



6.
# PC2 | the Alexandria database | PBE | relaxed
# **ΔE to the lowest computed polymorph**: 2149.8 meV/atom
# **ΔH_f (0 K)**: 2.380 eV/atom
data_PC2
_cell_length_a 4.7417
_cell_length_b 4.7417
_cell_length_c 4.7417
_cell_angle_alpha 90.00
_cell_angle_beta 90.00
_cell_angle_gamma 90.00
_symmetry_space_group_name_H-M 'F m -3 m'
_symmetry_Int_Tables_number 225
_symmetry_space_group_name_Hall '-F 4 2 3'
loop_
_atom_site_label
_atom_site_type_symbol
_atom_site_fract_x
_atom_site_fract_y
_atom_site_fract_z
P1 P 0.0000 0.0000 0.0000
C1 C 0.2500 0.2500 0.2500



7.
# PC3 | the Alexandria database | PBE | relaxed
# **ΔE to the lowest computed polymorph**: 429.1 meV/atom
# **ΔH_f (0 K)**: 1.072 eV/atom
data_PC3
_cell_length_a 2.5673
_cell_length_b 2.7823
_cell_length_c 6.9724
_cell_angle_alpha 84.76
_cell_angle_beta 80.26
_cell_angle_gamma 62.52
_symmetry_space_group_name_H-M 'P 1'
_symmetry_Int_Tables_number 1
loop_
_symmetry_equiv_pos_as_xyz
'x,y,z'
loop_
_atom_site_label
_atom_site_type_symbol
_atom_site_fract_x
_atom_site_fract_y
_atom_site_fract_z
P1 P 0.0000 0.0000 0.0000
C1 C 0.6466 0.3091 0.4330
C2 C 0.8885 0.9894 0.2544
C3 C 0.9738 0.6547 0.4330



8.
# P2C3 | the Alexandria database | PBE | relaxed
# **ΔE to the lowest computed polymorph**: 260.3 meV/atom
# **ΔH_f (0 K)**: 0.713 eV/atom
data_P2C3
_cell_length_a 3.7866
_cell_length_b 4.2251
_cell_length_c 4.4683
_cell_angle_alpha 105.50
_cell_angle_beta 106.72
_cell_angle_gamma 112.23
_symmetry_space_group_name_H-M 'P 1'
_symmetry_Int_Tables_number 1
loop_
_symmetry_equiv_pos_as_xyz
'x,y,z'
loop_
_atom_site_label
_atom_site_type_symbol
_atom_site_fract_x
_atom_site_fract_y
_atom_site_fract_z
P1 P 0.0000 0.0000 0.0000
P2 P 0.4827 0.1691 0.7347
C1 C 0.2032 0.8127 0.3065
C2 C 0.2570 0.5083 0.3468
C3 C 0.5370 0.5655 0.6686



9.
# PC2 | the Alexandria database | PBE | relaxed
# **ΔE to the lowest computed polymorph**: 1524.8 meV/atom
# **ΔH_f (0 K)**: 1.754 eV/atom
data_PC2
_cell_length_a 4.3390
_cell_length_b 4.3390
_cell_length_c 2.8796
_cell_angle_alpha 90.00
_cell_angle_beta 90.00
_cell_angle_gamma 90.00
_symmetry_space_group_name_H-M 'P 42/m n m'
_symmetry_Int_Tables_number 136
_symmetry_space_group_name_Hall '-P 4n 2n'
loop_
_atom_site_label
_atom_site_type_symbol
_atom_site_fract_x
_atom_site_fract_y
_atom_site_fract_z
P1 P 0.0000 0.0000 0.0000
C1 C 0.2008 0.2008 0.5000



10.
# PC3 | the Alexandria database | PBE | relaxed
# **ΔE to the lowest computed polymorph**: 1481.8 meV/atom
# **ΔH_f (0 K)**: 2.125 eV/atom
data_PC3
_cell_length_a 2.9255
_cell_length_b 11.8871
_cell_length_c 3.7571
_cell_angle_alpha 90.00
_cell_angle_beta 90.00
_cell_angle_gamma 90.00
_symmetry_space_group_name_H-M 'C m m m'
_symmetry_Int_Tables_number 65
_symmetry_space_group_name_Hall '-C 2 2'
loop_
_atom_site_label
_atom_site_type_symbol
_atom_site_fract_x
_atom_site_fract_y
_atom_site_fract_z
P1 P 0.0000 0.0000 0.0000
C1 C 0.0000 0.5000 0.0000
C2 C 0.2500 0.2500 0.5000



11.
# PC2 | the Alexandria database | PBE | relaxed
# **ΔE to the lowest computed polymorph**: 1598.1 meV/atom
# **ΔH_f (0 K)**: 1.828 eV/atom
data_PC2
_cell_length_a 3.7504
_cell_length_b 3.7504
_cell_length_c 7.0067
_cell_angle_alpha 90.00
_cell_angle_beta 90.00
_cell_angle_gamma 90.00
_symmetry_space_group_name_H-M 'I 41/a m d'
_symmetry_Int_Tables_number 141
loop_
_symmetry_equiv_pos_as_xyz
'x,y,z'
'-x,-y,-z'
'-y+1/4,x+3/4,z+1/4'
'y+1/4,-x+3/4,-z+1/4'
'-x+1/2,-y,z+1/2'
'x+1/2,y,-z+1/2'
'y+1/4,-x+1/4,z+3/4'
'-y+1/4,x+1/4,-z+3/4'
'x,-y,-z'
'-x,y,z'
'-y+1/4,-x+1/4,-z+3/4'
'y+1/4,x+1/4,z+3/4'
'-x+1/2,y,-z+1/2'
'x+1/2,-y,z+1/2'
'y+1/4,x+3/4,-z+1/4'
'-y+1/4,-x+3/4,z+1/4'
'x+1/2,y+1/2,z+1/2'
'-x+1/2,-y+1/2,-z+1/2'
'-y+3/4,x+1/4,z+3/4'
'y+3/4,-x+1/4,-z+3/4'
'-x,-y+1/2,z'
'x,y+1/2,-z'
'y+3/4,-x+3/4,z+1/4'
'-y+3/4,x+3/4,-z+1/4'
'x+1/2,-y+1/2,-z+1/2'
'-x+1/2,y+1/2,z+1/2'
'-y+3/4,-x+3/4,-z+1/4'
'y+3/4,x+3/4,z+1/4'
'-x,y+1/2,-z'
'x,-y+1/2,z'
'y+3/4,x+1/4,-z+3/4'
'-y+3/4,-x+1/4,z+3/4'
loop_
_atom_site_label
_atom_site_type_symbol
_atom_site_fract_x
_atom_site_fract_y
_atom_site_fract_z
P1 P 0.0000 0.2500 0.3750
C1 C 0.0000 0.2500 0.7696



12.
# PC2 | the Alexandria database | PBE | relaxed
# **ΔE to the lowest computed polymorph**: 907.7 meV/atom
# **ΔH_f (0 K)**: 1.137 eV/atom
data_PC2
_cell_length_a 2.8249
_cell_length_b 2.8249
_cell_length_c 7.4263
_cell_angle_alpha 90.00
_cell_angle_beta 90.00
_cell_angle_gamma 120.00
_symmetry_space_group_name_H-M 'P 63/m m c'
_symmetry_Int_Tables_number 194
_symmetry_space_group_name_Hall '-P 6c 2c'
loop_
_atom_site_label
_atom_site_type_symbol
_atom_site_fract_x
_atom_site_fract_y
_atom_site_fract_z
P1 P 0.3333 0.6667 0.2500
C1 C 0.0000 0.0000 0.0932



13.
# P2C3 | the Alexandria database | PBE | relaxed
# **ΔE to the lowest computed polymorph**: 209.1 meV/atom
# **ΔH_f (0 K)**: 0.661 eV/atom
data_P2C3
_cell_length_a 6.8985
_cell_length_b 2.6493
_cell_length_c 5.7544
_cell_angle_alpha 90.00
_cell_angle_beta 111.70
_cell_angle_gamma 90.00
_symmetry_space_group_name_H-M 'C 1 m 1'
_symmetry_Int_Tables_number 8
loop_
_symmetry_equiv_pos_as_xyz
'x,y,z'
'x,-y,z'
'x+1/2,y+1/2,z'
'x+1/2,-y+1/2,z'
loop_
_atom_site_label
_atom_site_type_symbol
_atom_site_fract_x
_atom_site_fract_y
_atom_site_fract_z
P1 P 0.0000 0.0000 0.0000
P2 P 0.1909 0.5000 0.6860
C1 C 0.1753 0.0000 0.4674
C2 C 0.3120 0.0000 0.3116
C3 C 0.4212 0.5000 0.2866



Going through the records in order, we get D(E_F) values of 7.089 0.805 2.344 1.297 3.098 7.232 0.366 0.191 2.406 1.992 3.483 1.554 2.082 states/eV per cell.